(1)
VASP calculation (meta-GGA SCAN) on a crystal of AgSBr2 relaxed with PBEsol.

E_tot (eV per atom): -19.33
E_form (uncorrected) (eV per formula unit): 2.601
Total magnetization (μB/atom): 0.123
Crystal system: trigonal

a = 3.371 Å, b = 3.371 Å, c = 9.373 Å
α = 79.64°, β = 79.64°, γ = 60.00°
Site moments in Bohr magnetons follow the coordinates.
Fractional positions:
S: 0.500 0.500 0.500  -0.27
Ag: 0.000 0.000 0.000  -0.01
Br: 0.910 0.910 0.270  -0.03
Br: 0.090 0.090 0.730  -0.03

(2)
VASP calculation (meta-GGA SCAN) on a crystal of AgSbBr relaxed with PBEsol.

E_tot (eV per atom): -29.35
E_form (uncorrected) (eV per formula unit): 0.048
Total magnetization (μB/atom): 0.000
Crystal system: trigonal

a = 3.697 Å, b = 3.697 Å, c = 6.173 Å
α = 90.00°, β = 90.00°, γ = 120.00°
Fractional positions:
Br: 0.333 0.667 0.711
Ag: 0.000 0.000 0.996
Sb: 0.667 0.333 0.292

(3)
VASP calculation (meta-GGA SCAN) on a crystal of AgSbBr2 relaxed with PBEsol.

Polymorph energy (0 for the lowest one) (eV per atom): 0.079
E_tot (eV per atom): -26.64
E_form (uncorrected) (eV per formula unit): 0.977
Total magnetization (μB/atom): 0.000
Crystal system: tetragonal

a = 5.052 Å, b = 5.126 Å, c = 5.052 Å
α = 60.47°, β = 90.00°, γ = 119.53°
Fractional positions:
Ag: 0.000 0.000 0.000
Br: 0.250 0.500 0.250
Sb: 0.500 0.000 0.500
Br: 0.750 0.500 0.750

(4)
VASP calculation (meta-GGA SCAN) on a crystal of AgSbBr2 relaxed with PBEsol.

Polymorph energy (0 for the lowest one) (eV per atom): 0.000
E_tot (eV per atom): -26.72
E_form (uncorrected) (eV per formula unit): 0.662
Total magnetization (μB/atom): 0.000
Crystal system: orthorhombic

a = 3.369 Å, b = 5.287 Å, c = 5.287 Å
α = 90.19°, β = 90.00°, γ = 90.00°
Fractional positions:
Ag: 0.500 0.500 0.500
Br: 0.000 0.000 0.500
Sb: 0.500 0.000 0.000
Br: 0.000 0.500 0.000

(5)
VASP calculation (meta-GGA SCAN) on a crystal of Ag2SbBr relaxed with PBEsol.

E_tot (eV per atom): -29.96
E_form (uncorrected) (eV per formula unit): -0.398
Total magnetization (μB/atom): 0.000
Crystal system: trigonal

a = 3.681 Å, b = 3.681 Å, c = 7.891 Å
α = 76.51°, β = 76.51°, γ = 60.00°
Fractional positions:
Ag: 0.251 0.251 0.247
Br: 0.500 0.500 0.500
Sb: 0.000 0.000 0.000
Ag: 0.749 0.749 0.753

(6)
VASP calculation (meta-GGA SCAN) on a crystal of Sc2AgBr relaxed with PBEsol.

Polymorph energy (0 for the lowest one) (eV per atom): 0.000
E_tot (eV per atom): -20.37
E_form (uncorrected) (eV per formula unit): -2.188
Total magnetization (μB/atom): 0.000
Crystal system: trigonal

a = 3.717 Å, b = 3.717 Å, c = 7.458 Å
α = 75.57°, β = 75.57°, γ = 60.00°
Fractional positions:
Sc: 0.254 0.254 0.238
Br: 0.500 0.500 0.500
Sc: 0.746 0.746 0.762
Ag: 0.000 0.000 0.000